1.
! Dy4GaSe3, relaxed, DFT GGA-PBE; values from VASP
&SYSTEM
  ibrav = 0, nat = 8, ntyp = 3
/
ATOMIC_SPECIES
Dy 162.50 Dy.upf
Ga 69.72 Ga.upf
Se 78.96 Se.upf
CELL_PARAMETERS angstrom
5.7980 0.0000 0.0000
0.0000 5.7980 0.0000
0.0000 0.0000 5.7980
ATOMIC_POSITIONS crystal
Dy 0.0000 0.0000 0.0000
Dy 0.0000 0.5000 0.5000
Dy 0.5000 0.0000 0.5000
Dy 0.5000 0.5000 0.0000
Ga 0.5000 0.5000 0.5000
Se 0.0000 0.0000 0.5000
Se 0.0000 0.5000 0.0000
Se 0.5000 0.0000 0.0000
! Magnetic moment   0.00 μB/atom

---

2.
! Dy2GaSi, relaxed, DFT GGA-PBE; values from VASP
&SYSTEM
  ibrav = 0, nat = 4, ntyp = 3
/
ATOMIC_SPECIES
Dy 162.50 Dy.upf
Ga 69.72 Ga.upf
Si 28.09 Si.upf
CELL_PARAMETERS angstrom
3.9496 0.0000 0.0000
0.0000 2.1509 5.3536
0.0000 -2.1509 5.3536
ATOMIC_POSITIONS crystal
Dy 0.0000 0.0000 0.0000
Dy 0.5000 0.2815 0.2815
Ga 0.5000 0.5655 0.5655
Si 0.0000 0.7168 0.7168
! Magnetic moment   0.01 μB/atom

---

3.
! Dy2Ga3Si, relaxed, DFT GGA-PBE; values from VASP
&SYSTEM
  ibrav = 0, nat = 6, ntyp = 3
/
ATOMIC_SPECIES
Dy 162.50 Dy.upf
Ga 69.72 Ga.upf
Si 28.09 Si.upf
CELL_PARAMETERS angstrom
4.0532 0.0000 0.0000
0.0000 4.1572 0.0000
0.0000 0.0000 7.1964
ATOMIC_POSITIONS crystal
Dy 0.0000 0.0000 0.0000
Dy 0.0000 0.5000 0.4879
Ga 0.5000 0.0000 0.6595
Ga 0.5000 0.5000 0.1604
Ga 0.5000 0.5000 0.8248
Si 0.5000 0.0000 0.3284
! Magnetic moment   0.00 μB/atom

---

| no. | total DFT energy (no corrections) (eV per atom) |
| --- | --- |
| 1 | -5.509 |
| 2 | -5.164 |
| 3 | -4.603 |